1.
A plane-wave DFT calculation with PBE was carried out for Cs4Au2Cl after structural relaxation.

Space-group type = Fdd2 (43)
Relative energy among the computed polymorphs = 0 meV/atom
Energy relative to the elements, uncorrected = -0.716 eV/atom

Unit cell a=10.104 b=10.104 c=10.130 alpha=104.82 beta=104.82 gamma=119.15
Element x y z (fractional)
Cs 0.471 0.225 0.671
Au 0.011 0.992 0.502
Cl 0.494 0.494 0.000
Au 0.491 0.509 0.498
Cs 0.942 0.684 0.653
Cs 0.031 0.289 0.347
Cl 0.744 0.244 0.500
Cs 0.475 0.221 0.171
Au 0.242 0.761 0.002
Cs 0.934 0.692 0.153
Cs 0.050 0.304 0.829
Au 0.759 0.241 0.998
Cs 0.554 0.800 0.329
Cs 0.539 0.781 0.847

---

2.
A plane-wave DFT calculation with PBE was carried out for Y3ErO6 after structural relaxation.

Space-group type = Cmmm (65)
Relative energy among the computed polymorphs = 332 meV/atom
Energy relative to the elements, uncorrected = -3.224 eV/atom

Unit cell a=3.530 b=6.867 c=6.867 alpha=110.29 beta=90.00 gamma=90.00
Element x y z (fractional)
O 0.000 0.074 0.330
Y 0.000 0.000 0.000
O 0.000 0.926 0.670
Y 0.500 0.000 0.500
O 0.000 0.670 0.926
O 0.500 0.634 0.366
Y 0.500 0.500 0.000
O 0.500 0.366 0.634
Er 0.000 0.500 0.500
O 0.000 0.330 0.074

---

3.
A plane-wave DFT calculation with PBE was carried out for Pm2ThC after structural relaxation.

Space-group type = R-3m (166)
ΔH_f (0 K) = 1.060 eV/atom

Unit cell a=3.699 b=3.699 c=10.543 alpha=79.90 beta=79.90 gamma=60.00
Last column: magnetic moment on the atom in μB.
Element x y z (fractional)
C 0.000 0.000 0.000  0.31
Th 0.500 0.500 0.500  0.02
Pm 0.927 0.927 0.219  0.04
Pm 0.073 0.073 0.781  0.04

---

4.
A plane-wave DFT calculation with PBE was carried out for NiHgBPC after structural relaxation.

Space-group type = Cm (8)
Relative energy among the computed polymorphs = 68 meV/atom
ΔH_f (0 K) = 0.343 eV/atom

Unit cell a=8.037 b=3.109 c=5.406 alpha=90.00 beta=102.58 gamma=90.00
Element x y z (fractional)
C 0.022 0.500 0.825
B 0.711 0.000 0.558
P 0.789 0.000 0.250
P 0.789 0.500 0.750
Hg 0.414 0.000 0.460
B 0.711 0.500 0.058
Ni 0.118 0.000 0.688
C 0.022 0.000 0.325
Ni 0.118 0.500 0.188
Hg 0.414 0.500 0.960

---

5.
A plane-wave DFT calculation with PBE was carried out for Cd2GaPd8 after structural relaxation.

Space-group type = C2/m (12)
ΔH_f (0 K) = -0.294 eV/atom

Unit cell a=4.570 b=5.963 c=7.681 alpha=112.73 beta=107.31 gamma=90.00
Element x y z (fractional)
Ga 0.500 0.000 0.000
Pd 0.361 0.597 0.723
Cd 0.187 0.687 0.375
Pd 0.639 0.403 0.277
Pd 0.000 0.256 0.999
Pd 0.826 0.825 0.652
Pd 0.360 0.124 0.721
Pd 0.640 0.876 0.279
Cd 0.813 0.313 0.625
Pd 0.174 0.175 0.348
Pd 0.000 0.744 0.001

---

6.
A plane-wave DFT calculation with PBE was carried out for SrLa2Tm after structural relaxation.

Space-group type = P4/mmm (123)
Relative energy among the computed polymorphs = 3 meV/atom
ΔH_f (0 K) = 0.100 eV/atom

Unit cell a=4.181 b=4.181 c=9.145 alpha=90.00 beta=90.00 gamma=90.00
Element x y z (fractional)
Sr 0.500 0.500 0.500
Tm 0.500 0.500 0.000
La 0.000 0.000 0.204
La 0.000 0.000 0.796

---

7.
A plane-wave DFT calculation with PBE was carried out for Tm4CoSn2 after structural relaxation.

Space-group type = C2/m (12)
Relative energy among the computed polymorphs = 0 meV/atom
ΔH_f (0 K) = -0.489 eV/atom

Unit cell a=4.499 b=8.445 c=7.464 alpha=136.08 beta=107.54 gamma=90.00
Element x y z (fractional)
Tm 0.934 0.215 0.868
Tm 0.335 0.729 0.671
Sn 0.656 0.645 0.312
Sn 0.344 0.355 0.688
Co 0.000 0.000 0.000
Tm 0.066 0.785 0.132
Tm 0.665 0.271 0.329

---

8.
A plane-wave DFT calculation with PBE was carried out for SiBiBTe after structural relaxation.

Space-group type = Cm (8)
Relative energy among the computed polymorphs = 14 meV/atom
Energy relative to the elements, uncorrected = 0.189 eV/atom

Unit cell a=9.438 b=3.401 c=5.825 alpha=90.00 beta=90.19 gamma=90.00
Element x y z (fractional)
Te 0.113 0.500 0.900
Si 0.397 0.500 0.903
Te 0.113 0.000 0.400
Bi 0.704 0.000 0.069
Bi 0.704 0.500 0.569
B 0.450 0.500 0.567
B 0.450 0.000 0.067
Si 0.397 0.000 0.403

---

Per-record density of states at the Fermi level, states/eV/cell: 7.0; 3.2; 5.4; 3.6; 6.1; 4.4; 5.0; 3.8
Per-record ρ, g/cm3: 4.09; 5.64; 7.25; 7.89; 10.41; 5.55; 9.11; 6.67